[1]
The following is a PBE calculation of SmSn2O4 after structural relaxation, from the Open Quantum Materials Database.

E   -6.36 eV per atom
V   237.2 Å³/cell

a = 6.948 Å, b = 6.948 Å, c = 6.948 Å
α = 60.00°, β = 60.00°, γ = 60.00°
Fractional positions:
1 Sm 0.125 0.125 0.125
2 Sm 0.875 0.875 0.875
3 Sn 0.000 0.500 0.500
4 Sn 0.500 0.000 0.500
5 Sn 0.500 0.500 0.000
6 Sn 0.500 0.500 0.500
7 O 0.256 0.256 0.256
8 O 0.256 0.256 0.732
9 O 0.256 0.732 0.256
10 O 0.268 0.744 0.744
11 O 0.732 0.256 0.256
12 O 0.744 0.268 0.744
13 O 0.744 0.744 0.268
14 O 0.744 0.744 0.744


[2]
The following is a PBE calculation of LaTb2Sn3Pb4 after structural relaxation, from the Open Quantum Materials Database.

Distance to the lowest polymorph of the same formula   0.000 eV/atom
V   283.6 Å³/cell

a = 13.099 Å, b = 13.099 Å, c = 4.734 Å
α = 90.00°, β = 90.00°, γ = 159.57°
Fractional positions:
1 La 0.000 0.000 0.000
2 Tb 0.192 0.808 0.000
3 Tb 0.808 0.192 0.000
4 Sn 0.292 0.708 0.500
5 Sn 0.500 0.500 0.500
6 Sn 0.708 0.292 0.500
7 Pb 0.102 0.898 0.500
8 Pb 0.400 0.600 0.000
9 Pb 0.600 0.400 0.000
10 Pb 0.898 0.102 0.500


[3]
The following is a PBE calculation of ThScFe after structural relaxation, from the Open Quantum Materials Database.

Distance to the lowest polymorph of the same formula   0.000 eV/atom
Calculated formation energy   0.0463 eV/atom
V   68.2 Å³/cell

a = 4.586 Å, b = 4.586 Å, c = 4.586 Å
α = 60.00°, β = 60.00°, γ = 60.00°
Fractional positions:
1 Th 0.000 0.000 0.000
2 Sc 0.500 0.500 0.500
3 Fe 0.750 0.750 0.750


[4]
The following is a PBE calculation of LaCoPb2 after structural relaxation, from the Open Quantum Materials Database.

E   -5.05 eV per atom
V   205.6 Å³/cell

a = 9.612 Å, b = 9.612 Å, c = 4.741 Å
α = 90.00°, β = 90.00°, γ = 152.01°
Fractional positions:
1 La 0.113 0.887 0.750
2 La 0.887 0.113 0.250
3 Co 0.316 0.684 0.750
4 Co 0.684 0.316 0.250
5 Pb 0.251 0.749 0.250
6 Pb 0.450 0.550 0.750
7 Pb 0.550 0.450 0.250
8 Pb 0.749 0.251 0.750


[5]
The following is a PBE calculation of PrGdAl2Pt4 after structural relaxation, from the Open Quantum Materials Database.

E   -6.27 eV per atom
V   158.2 Å³/cell

a = 4.374 Å, b = 4.374 Å, c = 9.549 Å
α = 90.00°, β = 90.00°, γ = 120.00°
Fractional positions:
1 Pr 0.000 0.000 0.000
2 Gd 0.667 0.333 0.500
3 Al 0.333 0.667 0.256
4 Al 0.333 0.667 0.744
5 Pt 0.000 0.000 0.335
6 Pt 0.000 0.000 0.665
7 Pt 0.667 0.333 0.183
8 Pt 0.667 0.333 0.817


[6]
The following is a PBE calculation of LaSmAg2Ge2 after structural relaxation, from the Open Quantum Materials Database.

E   -4.73 eV per atom
V   139.9 Å³/cell

a = 4.568 Å, b = 4.568 Å, c = 7.742 Å
α = 90.00°, β = 90.00°, γ = 120.00°
Fractional positions:
1 La 0.000 0.000 0.000
2 Sm 0.000 0.000 0.502
3 Ag 0.333 0.667 0.246
4 Ag 0.667 0.333 0.716
5 Ge 0.333 0.667 0.783
6 Ge 0.667 0.333 0.296


[7]
The following is a PBE calculation of Hf2ZrGa2 after structural relaxation, from the Open Quantum Materials Database.

Distance to the lowest polymorph of the same formula   0.000 eV/atom
V   195.8 Å³/cell

a = 7.305 Å, b = 7.305 Å, c = 3.669 Å
α = 90.00°, β = 90.00°, γ = 90.00°
Fractional positions:
1 Hf 0.178 0.322 0.000
2 Hf 0.322 0.822 0.000
3 Hf 0.678 0.178 0.000
4 Hf 0.822 0.678 0.000
5 Zr 0.000 0.000 0.500
6 Zr 0.500 0.500 0.500
7 Ga 0.122 0.622 0.500
8 Ga 0.378 0.122 0.500
9 Ga 0.622 0.878 0.500
10 Ga 0.878 0.378 0.500


[8]
The following is a PBE calculation of Tb4TmSe5 after structural relaxation, from the Open Quantum Materials Database.

E   -5.79 eV per atom
V   238.6 Å³/cell

a = 14.746 Å, b = 14.746 Å, c = 14.746 Å
α = 164.17°, β = 164.17°, γ = 22.46°
Fractional positions:
1 Tb 0.102 0.102 0.000
2 Tb 0.305 0.305 0.000
3 Tb 0.695 0.695 0.000
4 Tb 0.898 0.898 0.000
5 Tm 0.500 0.500 0.000
6 Se 0.000 0.000 0.000
7 Se 0.203 0.203 0.000
8 Se 0.403 0.403 0.000
9 Se 0.597 0.597 0.000
10 Se 0.797 0.797 0.000


[9]
The following is a PBE calculation of TaAlFe after structural relaxation, from the Open Quantum Materials Database.

Distance to the lowest polymorph of the same formula   0.061 eV/atom
V   175.0 Å³/cell

a = 6.112 Å, b = 4.118 Å, c = 6.952 Å
α = 90.00°, β = 90.00°, γ = 90.00°
Fractional positions:
1 Ta 0.010 0.250 0.227
2 Ta 0.490 0.750 0.727
3 Ta 0.510 0.250 0.273
4 Ta 0.990 0.750 0.773
5 Al 0.235 0.250 0.600
6 Al 0.265 0.750 0.100
7 Al 0.735 0.250 0.900
8 Al 0.765 0.750 0.400
9 Fe 0.157 0.750 0.439
10 Fe 0.343 0.250 0.939
11 Fe 0.657 0.750 0.061
12 Fe 0.843 0.250 0.561


[10]
The following is a PBE calculation of TaBePt2 after structural relaxation, from the Open Quantum Materials Database.

E   -7.21 eV per atom
V   59.3 Å³/cell

a = 4.378 Å, b = 4.378 Å, c = 4.378 Å
α = 60.00°, β = 60.00°, γ = 60.00°
Fractional positions:
1 Ta 0.000 0.000 0.000
2 Be 0.750 0.750 0.750
3 Pt 0.250 0.250 0.250
4 Pt 0.500 0.500 0.500


[11]
The following is a PBE calculation of PmFeSn after structural relaxation, from the Open Quantum Materials Database.

E   -5.57 eV per atom
V   81.0 Å³/cell

a = 4.857 Å, b = 4.857 Å, c = 4.857 Å
α = 60.00°, β = 60.00°, γ = 60.00°
Fractional positions:
1 Pm 0.000 0.000 0.000
2 Fe 0.500 0.500 0.500
3 Sn 0.750 0.750 0.750


[12]
The following is a PBE calculation of GdErGe2 after structural relaxation, from the Open Quantum Materials Database.

Distance to the lowest polymorph of the same formula   0.000 eV/atom
V   181.7 Å³/cell

a = 3.937 Å, b = 5.783 Å, c = 7.981 Å
α = 90.00°, β = 90.00°, γ = 90.00°
Fractional positions:
1 Gd 0.000 0.132 0.000
2 Gd 0.000 0.868 0.500
3 Er 0.500 0.368 0.639
4 Er 0.500 0.632 0.139
5 Ge 0.000 0.394 0.362
6 Ge 0.000 0.606 0.862
7 Ge 0.500 0.106 0.278
8 Ge 0.500 0.894 0.778


[13]
The following is a PBE calculation of LiNbTlCo after structural relaxation, from the Open Quantum Materials Database.

Distance to the lowest polymorph of the same formula   0.000 eV/atom
V   59.7 Å³/cell

a = 4.387 Å, b = 4.387 Å, c = 4.387 Å
α = 60.00°, β = 60.00°, γ = 60.00°
Fractional positions:
1 Li 0.000 0.000 0.000
2 Nb 0.750 0.750 0.750
3 Tl 0.250 0.250 0.250
4 Co 0.500 0.500 0.500


[14]
The following is a PBE calculation of Sm2In after structural relaxation, from the Open Quantum Materials Database.

E   -4.41 eV per atom
V   362.3 Å³/cell

a = 6.824 Å, b = 5.297 Å, c = 10.023 Å
α = 90.00°, β = 90.00°, γ = 90.00°
Fractional positions:
1 Sm 0.033 0.250 0.210
2 Sm 0.190 0.250 0.571
3 Sm 0.310 0.750 0.071
4 Sm 0.467 0.750 0.710
5 Sm 0.533 0.250 0.290
6 Sm 0.690 0.250 0.929
7 Sm 0.810 0.750 0.429
8 Sm 0.967 0.750 0.790
9 In 0.213 0.250 0.894
10 In 0.287 0.750 0.394
11 In 0.713 0.250 0.606
12 In 0.787 0.750 0.106


[15]
The following is a PBE calculation of Cs2K3CuSb2 after structural relaxation, from the Open Quantum Materials Database.

Distance to the lowest polymorph of the same formula   0.000 eV/atom
V   317.0 Å³/cell

a = 10.148 Å, b = 10.148 Å, c = 10.148 Å
α = 35.63°, β = 35.63°, γ = 35.63°
Fractional positions:
1 Cs 0.139 0.139 0.139
2 Cs 0.861 0.861 0.861
3 K 0.000 0.000 0.000
4 K 0.285 0.285 0.285
5 K 0.715 0.715 0.715
6 Cu 0.500 0.500 0.500
7 Sb 0.411 0.411 0.411
8 Sb 0.589 0.589 0.589


[16]
The following is a PBE calculation of LiCoAgSn after structural relaxation, from the Open Quantum Materials Database.

Distance to the lowest polymorph of the same formula   0.000 eV/atom
V   61.2 Å³/cell

a = 4.423 Å, b = 4.423 Å, c = 4.423 Å
α = 60.00°, β = 60.00°, γ = 60.00°
Fractional positions:
1 Li 0.000 0.000 0.000
2 Co 0.500 0.500 0.500
3 Ag 0.750 0.750 0.750
4 Sn 0.250 0.250 0.250


[17]
The following is a PBE calculation of DyBr2 after structural relaxation, from the Open Quantum Materials Database.

E   -4.08 eV per atom
V   664.8 Å³/cell

a = 6.638 Å, b = 13.050 Å, c = 7.675 Å
α = 90.00°, β = 90.00°, γ = 90.00°
Fractional positions:
1 Dy 0.156 0.098 0.048
2 Dy 0.156 0.402 0.548
3 Dy 0.344 0.598 0.048
4 Dy 0.344 0.902 0.548
5 Dy 0.656 0.098 0.452
6 Dy 0.656 0.402 0.952
7 Dy 0.844 0.598 0.452
8 Dy 0.844 0.902 0.952
9 Br 0.023 0.040 0.701
10 Br 0.023 0.460 0.201
11 Br 0.217 0.709 0.374
12 Br 0.217 0.791 0.874
13 Br 0.283 0.209 0.374
14 Br 0.283 0.291 0.874
15 Br 0.477 0.540 0.701
16 Br 0.477 0.960 0.201
17 Br 0.523 0.040 0.799
18 Br 0.523 0.460 0.299
19 Br 0.717 0.709 0.126
20 Br 0.717 0.791 0.626
21 Br 0.783 0.209 0.126
22 Br 0.783 0.291 0.626
23 Br 0.977 0.540 0.799
24 Br 0.977 0.960 0.299


[18]
The following is a PBE calculation of CsScFeTe3 after structural relaxation, from the Open Quantum Materials Database.

E   -4.98 eV per atom
V   413.6 Å³/cell

a = 10.039 Å, b = 4.203 Å, c = 10.795 Å
α = 90.00°, β = 114.75°, γ = 90.00°
Fractional positions:
1 Cs 0.215 0.250 0.241
2 Cs 0.785 0.750 0.759
3 Sc 0.334 0.750 0.856
4 Sc 0.666 0.250 0.144
5 Fe 0.068 0.250 0.579
6 Fe 0.932 0.750 0.421
7 Te 0.124 0.250 0.841
8 Te 0.219 0.750 0.548
9 Te 0.467 0.750 0.151
10 Te 0.533 0.250 0.849
11 Te 0.781 0.250 0.452
12 Te 0.876 0.750 0.159


[19]
The following is a PBE calculation of OsPd2Au after structural relaxation, from the Open Quantum Materials Database.

Calculated formation energy   0.5041 eV/atom
V   63.0 Å³/cell

a = 4.467 Å, b = 4.467 Å, c = 4.467 Å
α = 60.00°, β = 60.00°, γ = 60.00°
Fractional positions:
1 Os 0.000 0.000 0.000
2 Pd 0.500 0.500 0.500
3 Pd 0.750 0.750 0.750
4 Au 0.250 0.250 0.250


[20]
The following is a PBE calculation of MgAlPt after structural relaxation, from the Open Quantum Materials Database.

E   -4.66 eV per atom
V   205.1 Å³/cell

a = 6.482 Å, b = 4.043 Å, c = 7.828 Å
α = 90.00°, β = 90.00°, γ = 90.00°
Fractional positions:
1 Mg 0.034 0.250 0.168
2 Mg 0.466 0.750 0.668
3 Mg 0.534 0.250 0.332
4 Mg 0.966 0.750 0.832
5 Al 0.148 0.250 0.553
6 Al 0.352 0.750 0.053
7 Al 0.648 0.250 0.947
8 Al 0.852 0.750 0.447
9 Pt 0.230 0.750 0.365
10 Pt 0.270 0.250 0.865
11 Pt 0.730 0.750 0.135
12 Pt 0.770 0.250 0.635